# 1
A plane-wave DFT calculation with GGA-PBE was carried out for an optimized crystal structure of HfNb2ZnF.

Cell lengths 4.2436, 4.7263, 4.2436 Å; angles 90.00, 90.00, 90.00 degrees
Fractional positions:
1 Nb 0.0000 0.0000 0.5000
2 Nb 0.5000 0.0000 0.0000
3 Hf 0.5000 0.5000 0.5000
4 Zn 0.0000 0.5000 0.0000
5 F 0.0000 0.0000 0.0000

Results
density of states at the Fermi level	4.529	states/eV/cell
energy relative to the elements, uncorrected	-0.27	eV/atom
calculated total energy	-0.2541	hartree per atom
crystal system	tetragonal
M_tot	0.000	μB per atom
space-group type	P4/mmm, No. 123

# 2
A plane-wave DFT calculation with GGA-PBE was carried out for an optimized crystal structure of MgCo2Sb.

Cell lengths 4.2452, 4.2452, 3.1977 Å; angles 90.00, 90.00, 90.00 degrees
Fractional positions:
1 Co 0.0000 0.0000 0.0000
2 Co 0.5000 0.5000 0.0000
3 Mg 0.5000 0.0000 0.5000
4 Sb 0.0000 0.5000 0.5000

Results
density of states at the Fermi level	1.848	states/eV/cell
energy relative to the elements, uncorrected	-0.01	eV/atom
calculated total energy	-0.1834	hartree per atom
crystal system	tetragonal
M_tot	0.296	μB per atom
space-group type	P4/mmm, No. 123